Compound: CsLiVF6
Source: Alexandria via LeMat-Bulk
Functional: PBE+U
Structure: optimized geometry

```
CsLiVF6
1.0
2.6859 -4.6493 0.0000
2.6859 4.6493 0.0000
-0.0122 0.0000 6.4492
Cs Li V F
1 1 1 6
Cartesian
0.0000 0.0000 0.0000
2.6798 1.5752 3.2246
2.6798 -1.5420 3.2246
2.0658 -0.1116 2.1634
1.1332 -1.7418 4.3051
1.7558 -2.7864 2.1542
3.2939 -0.1116 4.2858
3.6038 -2.7864 4.2950
4.2264 -1.7418 2.1441
```

Uncorrected energy ... -5.26 eV per atom
Crystal system ... monoclinic